## PrCo4Si (PBE)

Data for a relaxed PrCo4Si crystal.

CIF file:
```
data_PrCo4Si
_chemical_formula_sum 'Pr2 Co8 Si2'
_cell_length_a 5.1566
_cell_length_b 8.4646
_cell_length_c 3.9248
_cell_angle_alpha 90.00
_cell_angle_beta 90.00
_cell_angle_gamma 90.00
_symmetry_space_group_name_H-M 'C m m m'
_symmetry_Int_Tables_number 65
_symmetry_space_group_name_Hall '-C 2 2'
loop_
_atom_site_label
_atom_site_fract_x
_atom_site_fract_y
_atom_site_fract_z
Pr1 0.0000 0.0000 0.0000
Co1 0.0000 0.3437 0.0000
Co2 0.2500 0.2500 0.5000
Si1 0.0000 0.5000 0.5000
```

Values from the calculation:
total energy: -6.69 eV/atom
density of states at the Fermi level: 11.19 states/eV/f.u.